Density functional theory data (PBE) for crystalline NaScMn3 at its relaxed geometry.

Cell lengths 4.9296, 4.9296, 4.9296 Å; angles 90.00, 90.00, 90.00 degrees
Last column: nearest neighbours and their distance in Å.
Positions (direct):
Na (0.0000, 0.0000, 0.0000)  12 Mn 3.49
Sc (0.5000, 0.5000, 0.5000)  6 Mn 2.46
Mn (0.0000, 0.5000, 0.5000)  2 Sc 2.46
Mn (0.5000, 0.0000, 0.5000)  2 Sc 2.46
Mn (0.5000, 0.5000, 0.0000)  2 Sc 2.46

Output
SG   Pm-3m
DFT formation energy   6.1 eV per formula unit

***

Density functional theory data (PBE) for crystalline TbNbIr2 at its relaxed geometry.

Cell lengths 3.1060, 3.1060, 7.6046 Å; angles 90.00, 90.00, 90.00 degrees
Last column: nearest neighbours and their distance in Å.
Positions (direct):
Tb (0.0000, 0.0000, 0.0000)  8 Ir 3.09, 4 Tb 3.11
Nb (0.0000, 0.0000, 0.5000)  8 Ir 2.74
Ir (0.5000, 0.5000, 0.2854)  4 Nb 2.74
Ir (0.5000, 0.5000, 0.7146)  4 Nb 2.74

Output
SG   P4/mmm
DFT formation energy   -2.2 eV per formula unit

***

Density functional theory data (PBE) for crystalline Be2TcRu2 at its relaxed geometry.

Cell lengths 6.2971, 6.2971, 2.8928 Å; angles 90.00, 90.00, 90.00 degrees
Last column: nearest neighbours and their distance in Å.
Positions (direct):
Be (0.1268, 0.3732, 0.0000)  1 Be 2.26, 6 Ru 2.35, 2 Tc 2.48
Be (0.3732, 0.8732, 0.0000)  1 Be 2.26, 6 Ru 2.35, 2 Tc 2.48
Be (0.6268, 0.1268, 0.0000)  1 Be 2.26, 6 Ru 2.35, 2 Tc 2.48
Be (0.8732, 0.6268, 0.0000)  1 Be 2.26, 6 Ru 2.35, 2 Tc 2.48
Tc (0.0000, 0.0000, 0.0000)  4 Be 2.48, 8 Ru 2.76
Tc (0.5000, 0.5000, 0.0000)  4 Be 2.48, 8 Ru 2.76
Ru (0.1656, 0.6656, 0.5000)  6 Be 2.35
Ru (0.3344, 0.1656, 0.5000)  6 Be 2.35
Ru (0.6656, 0.8344, 0.5000)  6 Be 2.35
Ru (0.8344, 0.3344, 0.5000)  6 Be 2.35

Output
SG   P4/mbm
DFT formation energy   -1.1 eV per formula unit

***

Density functional theory data (PBE) for crystalline CoMo2 at its relaxed geometry.

Cell lengths 3.8267, 11.7109, 3.7787 Å; angles 90.00, 90.00, 90.00 degrees
Last column: nearest neighbours and their distance in Å.
Positions (direct):
Co (0.0000, 0.0763, 0.2500)  10 Mo 2.59-2.81, 2 Co 2.60
Co (0.0000, 0.9237, 0.7500)  10 Mo 2.59-2.81, 2 Co 2.60
Co (0.5000, 0.4237, 0.7500)  10 Mo 2.59-2.81, 2 Co 2.60
Co (0.5000, 0.5763, 0.2500)  10 Mo 2.59-2.81, 2 Co 2.60
Mo (0.0000, 0.2542, 0.7500)  8 Mo 2.69-2.86, 4 Co 2.76-2.81
Mo (0.0000, 0.4270, 0.2500)  4 Mo 2.55-2.77, 6 Co 2.59-2.69
Mo (0.0000, 0.5730, 0.7500)  4 Mo 2.55-2.77, 6 Co 2.59-2.69
Mo (0.0000, 0.7458, 0.2500)  8 Mo 2.69-2.86, 4 Co 2.76-2.81
Mo (0.5000, 0.0730, 0.7500)  4 Mo 2.55-2.77, 6 Co 2.59-2.69
Mo (0.5000, 0.2458, 0.2500)  8 Mo 2.69-2.86, 4 Co 2.76-2.81
Mo (0.5000, 0.7542, 0.7500)  8 Mo 2.69-2.86, 4 Co 2.76-2.81
Mo (0.5000, 0.9270, 0.2500)  4 Mo 2.55-2.77, 6 Co 2.59-2.69

Output
SG   Cmcm
DFT formation energy   0.5 eV per formula unit

***

Density functional theory data (PBE) for crystalline Tb6Ag2Sn at its relaxed geometry.

Cell lengths 8.7119, 8.7119, 8.7119 Å; angles 110.35, 109.76, 108.32 degrees
Last column: nearest neighbours and their distance in Å.
Positions (direct):
Tb (0.0427, 0.8239, 0.2188)  3 Ag 2.93-3.18
Tb (0.2451, 0.5419, 0.2968)  2 Ag 2.93-3.20, 1 Sn 3.22
Tb (0.2451, 0.9483, 0.7032)  2 Ag 2.93-3.20, 1 Sn 3.22
Tb (0.2707, 0.3190, 0.5897)  3 Ag 3.22-3.23, 1 Sn 3.26, 1 Tb 3.60
Tb (0.2707, 0.6810, 0.9517)  3 Ag 3.22-3.23, 1 Sn 3.26, 1 Tb 3.60
Tb (0.3949, 0.1761, 0.2188)  3 Ag 2.93-3.18
Tb (0.6051, 0.8239, 0.7812)  3 Ag 2.93-3.18
Tb (0.7293, 0.3190, 0.0483)  3 Ag 3.22-3.23, 1 Sn 3.26, 1 Tb 3.60
Tb (0.7293, 0.6810, 0.4103)  3 Ag 3.22-3.23, 1 Sn 3.26, 1 Tb 3.60
Tb (0.7549, 0.0517, 0.2968)  2 Ag 2.93-3.20, 1 Sn 3.22
Tb (0.7549, 0.4581, 0.7032)  2 Ag 2.93-3.20, 1 Sn 3.22
Tb (0.9573, 0.1761, 0.7812)  3 Ag 2.93-3.18
Ag (0.0000, 0.1436, 0.1436)  1 Ag 2.86, 6 Tb 2.93-3.18
Ag (0.0000, 0.8564, 0.8564)  1 Ag 2.86, 6 Tb 2.93-3.18
Ag (0.3666, 0.3666, 0.0000)  1 Ag 2.72, 2 Tb 2.93
Ag (0.6334, 0.6334, 0.0000)  1 Ag 2.72, 2 Tb 2.93
Sn (0.0000, 0.5000, 0.5000)  8 Tb 3.22-3.26, 2 Ag 3.55
Sn (0.5000, 0.0000, 0.5000)  8 Tb 3.29-3.34

Output
SG   Immm
DFT formation energy   -2.5 eV per formula unit

***

Density functional theory data (PBE) for crystalline BaZn4Si3 at its relaxed geometry.

Cell lengths 4.4831, 4.4831, 7.7435 Å; angles 90.00, 90.00, 90.00 degrees
Last column: nearest neighbours and their distance in Å.
Positions (direct):
Ba (0.0000, 0.0000, 0.0000)  8 Zn 3.38, 8 Si 3.40
Zn (0.0000, 0.5000, 0.3265)  4 Si 2.60-2.61, 1 Zn 2.69
Zn (0.0000, 0.5000, 0.6735)  4 Si 2.60-2.61, 1 Zn 2.69
Zn (0.5000, 0.0000, 0.3265)  4 Si 2.60-2.61, 1 Zn 2.69
Zn (0.5000, 0.0000, 0.6735)  4 Si 2.60-2.61, 1 Zn 2.69
Si (0.0000, 0.0000, 0.5000)  8 Zn 2.61
Si (0.5000, 0.5000, 0.1574)  1 Si 2.44, 4 Zn 2.60
Si (0.5000, 0.5000, 0.8426)  1 Si 2.44, 4 Zn 2.60

Output
SG   P4/mmm
Raw formation energy   -0.15 eV/atom

***

Density functional theory data (PBE) for crystalline DyGa3Co at its relaxed geometry.

Cell lengths 8.1799, 4.0773, 10.4434 Å; angles 90.00, 90.00, 90.00 degrees
Last column: nearest neighbours and their distance in Å.
Positions (direct):
Dy (0.1984, 0.2500, 0.0152)  9 Ga 2.96-3.29, 2 Co 3.10
Dy (0.3016, 0.7500, 0.5152)  9 Ga 2.96-3.29, 2 Co 3.10
Dy (0.6984, 0.2500, 0.4848)  9 Ga 2.96-3.29, 2 Co 3.10
Dy (0.8016, 0.7500, 0.9848)  9 Ga 2.96-3.29, 2 Co 3.10
Ga (0.0542, 0.2500, 0.5839)  3 Co 2.45-2.52, 1 Ga 2.62
Ga (0.1136, 0.7500, 0.7934)  2 Co 2.36-2.37
Ga (0.1440, 0.7500, 0.2187)  2 Co 2.49, 1 Ga 2.62
Ga (0.3560, 0.2500, 0.7187)  2 Co 2.49, 1 Ga 2.62
Ga (0.3864, 0.2500, 0.2934)  2 Co 2.36-2.37
Ga (0.4458, 0.7500, 0.0839)  3 Co 2.45-2.52, 1 Ga 2.62
Ga (0.5542, 0.2500, 0.9161)  3 Co 2.45-2.52, 1 Ga 2.62
Ga (0.6136, 0.7500, 0.7066)  2 Co 2.36-2.37
Ga (0.6440, 0.7500, 0.2813)  2 Co 2.49, 1 Ga 2.62
Ga (0.8560, 0.2500, 0.7813)  2 Co 2.49, 1 Ga 2.62
Ga (0.8864, 0.2500, 0.2066)  2 Co 2.36-2.37
Ga (0.9458, 0.7500, 0.4161)  3 Co 2.45-2.52, 1 Ga 2.62
Co (0.1067, 0.2500, 0.3526)  7 Ga 2.36-2.52
Co (0.3933, 0.7500, 0.8526)  7 Ga 2.36-2.52
Co (0.6067, 0.2500, 0.1474)  7 Ga 2.36-2.52
Co (0.8933, 0.7500, 0.6474)  7 Ga 2.36-2.52

Output
SG   Pnma
DFT formation energy   -2.6 eV per formula unit

***

Density functional theory data (PBE) for crystalline Tb4Ga3Si at its relaxed geometry.

Cell lengths 4.0054, 4.3649, 10.8646 Å; angles 90.00, 90.00, 90.00 degrees
Last column: nearest neighbours and their distance in Å.
Positions (direct):
Tb (0.0000, 0.0000, 0.0000)  6 Ga 3.05-3.24, 1 Si 3.06
Tb (0.0000, 0.5000, 0.4935)  5 Ga 3.04-3.11, 2 Si 3.17
Tb (0.5000, 0.0000, 0.7163)  7 Ga 3.04-3.23
Tb (0.5000, 0.5000, 0.2176)  4 Si 3.04, 3 Ga 3.07-3.18
Ga (0.0000, 0.5000, 0.7797)  2 Ga 2.62
Ga (0.5000, 0.0000, 0.4299)  2 Si 2.57
Ga (0.5000, 0.5000, 0.9349)  2 Ga 2.62
Si (0.0000, 0.0000, 0.2815)  2 Ga 2.57

Output
SG   Pmm2
Raw formation energy   -0.69 eV/atom

***

Density functional theory data (PBE) for crystalline SrLa3Ir at its relaxed geometry.

Cell lengths 14.6921, 4.1551, 6.8956 Å; angles 90.00, 112.87, 90.00 degrees
Last column: nearest neighbours and their distance in Å.
Positions (direct):
Sr (0.0000, 0.0000, 0.0000)  1 Ir 3.08
Sr (0.5000, 0.5000, 0.0000)  1 Ir 3.08
La (0.2484, 0.0000, 0.5883)  2 Ir 2.84
La (0.2536, 0.5000, 0.0976)  1 Ir 2.78
La (0.4910, 0.0000, 0.4954)  2 Ir 2.83
La (0.7484, 0.5000, 0.5883)  2 Ir 2.84
La (0.7536, 0.0000, 0.0976)  1 Ir 2.78
La (0.9910, 0.5000, 0.4954)  2 Ir 2.83
Ir (0.3669, 0.5000, 0.5281)  5 La 2.78-2.84, 1 Sr 3.08
Ir (0.8669, 0.0000, 0.5281)  5 La 2.78-2.84, 1 Sr 3.08

Output
SG   Cm
DFT formation energy   -1.5 eV per formula unit

***

Density functional theory data (PBE) for crystalline Nb2PdPt2 at its relaxed geometry.

Cell lengths 8.8969, 4.0369, 6.3732 Å; angles 90.00, 134.10, 90.00 degrees
Last column: nearest neighbours and their distance in Å.
Positions (direct):
Nb (0.0781, 0.0000, 0.3671)  6 Pt 2.76-2.90, 3 Pd 2.79-3.05, 3 Nb 2.84-3.02
Nb (0.4219, 0.5000, 0.6328)  6 Pt 2.76-2.90, 3 Pd 2.79-3.05, 3 Nb 2.84-3.02
Nb (0.5781, 0.5000, 0.3671)  6 Pt 2.76-2.90, 3 Pd 2.79-3.05, 3 Nb 2.84-3.02
Nb (0.9219, 0.0000, 0.6328)  6 Pt 2.76-2.90, 3 Pd 2.79-3.05, 3 Nb 2.84-3.02
Pd (0.0000, 0.5000, 0.0000)  6 Nb 2.79-3.05, 6 Pt 2.83-2.89
Pd (0.5000, 0.0000, 0.0000)  6 Nb 2.79-3.05, 6 Pt 2.83-2.89
Pt (0.2003, 0.5000, 0.7886)  6 Nb 2.76-2.90, 3 Pt 2.83-2.97, 3 Pd 2.83-2.89
Pt (0.2997, 0.0000, 0.2114)  6 Nb 2.76-2.90, 3 Pt 2.83-2.97, 3 Pd 2.83-2.89
Pt (0.7003, 0.0000, 0.7886)  6 Nb 2.76-2.90, 3 Pt 2.83-2.97, 3 Pd 2.83-2.89
Pt (0.7997, 0.5000, 0.2114)  6 Nb 2.76-2.90, 3 Pt 2.83-2.97, 3 Pd 2.83-2.89

Output
SG   C2/m
DFT formation energy   -2.6 eV per formula unit

***

Density functional theory data (PBE) for crystalline NdScSe2Cl at its relaxed geometry.

Cell lengths 4.1215, 4.1215, 13.7361 Å; angles 90.00, 90.00, 90.00 degrees
Last column: nearest neighbours and their distance in Å.
Positions (direct):
Nd (0.2500, 0.2500, 0.1509)  4 Cl 2.92, 4 Se 3.04
Nd (0.7500, 0.7500, 0.8491)  4 Cl 2.92, 4 Se 3.04
Sc (0.2500, 0.2500, 0.5874)  6 Se 2.70-2.93
Sc (0.7500, 0.7500, 0.4126)  6 Se 2.70-2.93
Se (0.2500, 0.2500, 0.3907)  5 Sc 2.70-2.93
Se (0.2500, 0.2500, 0.7862)  1 Sc 2.73, 4 Nd 3.04
Se (0.7500, 0.7500, 0.2138)  1 Sc 2.73, 4 Nd 3.04
Se (0.7500, 0.7500, 0.6093)  5 Sc 2.70-2.93
Cl (0.2500, 0.7500, 0.0000)  4 Cl 2.91, 4 Nd 2.92
Cl (0.7500, 0.2500, 0.0000)  4 Cl 2.91, 4 Nd 2.92

Output
SG   P4/nmm
Raw formation energy   -1.78 eV/atom

***

Density functional theory data (PBE) for crystalline LaFeTe at its relaxed geometry.

Cell lengths 3.6756, 3.6756, 10.9493 Å; angles 90.00, 90.00, 90.00 degrees
Last column: nearest neighbours and their distance in Å.
Positions (direct):
La (0.0000, 0.0000, 0.0000)  5 Te 3.19-3.46, 5 Fe 3.26-3.50
La (0.5000, 0.5000, 0.5000)  5 Te 3.19-3.46, 5 Fe 3.26-3.50
Fe (0.0000, 0.0000, 0.6803)  4 Te 2.87
Fe (0.5000, 0.5000, 0.1803)  4 Te 2.87
Te (0.0000, 0.0000, 0.2911)  4 Fe 2.87, 1 La 3.19
Te (0.5000, 0.5000, 0.7911)  4 Fe 2.87, 1 La 3.19

Output
SG   I4mm
Raw formation energy   -0.24 eV/atom

***

Quick rundown of total energy, same order as above: -5.814, -8.648, -7.495, -9.439, -4.438, -3.065, -4.679, -4.815, -5.364, -8.010, -5.759, -5.746 eV per atom